Entry 1:
First-principles (PBE) data for CsPrI3 after structural relaxation, as listed in the Alexandria database.

## Properties
Total energy (eV/cell): -16.8
Space group: Pm-3m, No. 221
M_tot (μB/atom): 0.001
Density of states at the Fermi level (states/eV per cell): 3.62

Unit cell a=6.298 b=6.298 c=6.298 alpha=90.00 beta=90.00 gamma=90.00
Element x y z (fractional)
Cs (0.000, 0.000, 0.000)
Pr (0.500, 0.500, 0.500)
I (0.000, 0.500, 0.500)
I (0.500, 0.000, 0.500)
I (0.500, 0.500, 0.000)

Entry 2:
First-principles (PBE) data for CsPrI3 after structural relaxation, as listed in the Alexandria database.

## Properties
Total energy (eV/cell): -69.1
Space group: Pnma, No. 62
M_tot (μB/atom): 0.199
Density of states at the Fermi level (states/eV per cell): 2.66

Unit cell a=10.752 b=4.496 c=18.729 alpha=90.00 beta=90.00 gamma=90.00
Element x y z (fractional)
Cs (0.061, 0.250, 0.172)
Cs (0.439, 0.750, 0.672)
Cs (0.561, 0.250, 0.328)
Cs (0.939, 0.750, 0.828)
Pr (0.126, 0.750, 0.454)
Pr (0.374, 0.250, 0.954)
Pr (0.626, 0.750, 0.046)
Pr (0.874, 0.250, 0.546)
I (0.053, 0.750, 0.622)
I (0.171, 0.750, 0.001)
I (0.236, 0.250, 0.801)
I (0.264, 0.750, 0.301)
I (0.329, 0.250, 0.501)
I (0.447, 0.250, 0.122)
I (0.553, 0.750, 0.878)
I (0.671, 0.750, 0.499)
I (0.736, 0.250, 0.699)
I (0.764, 0.750, 0.199)
I (0.829, 0.250, 0.999)
I (0.947, 0.250, 0.378)

Entry 3:
First-principles (PBE) data for Cs2PrI5 after structural relaxation, as listed in the Alexandria database.

## Properties
Total energy (eV/cell): -105.5
Space group: Pnma, No. 62
M_tot (μB/atom): 0.000
Density of states at the Fermi level (states/eV per cell): 0.00

Unit cell a=15.425 b=10.286 c=9.914 alpha=90.00 beta=90.00 gamma=90.00
Element x y z (fractional)
Cs (0.170, 0.011, 0.087)
Cs (0.170, 0.489, 0.087)
Cs (0.330, 0.511, 0.587)
Cs (0.330, 0.989, 0.587)
Cs (0.670, 0.011, 0.413)
Cs (0.670, 0.489, 0.413)
Cs (0.830, 0.511, 0.913)
Cs (0.830, 0.989, 0.913)
Pr (0.006, 0.250, 0.573)
Pr (0.494, 0.750, 0.073)
Pr (0.506, 0.250, 0.927)
Pr (0.994, 0.750, 0.427)
I (0.014, 0.250, 0.900)
I (0.059, 0.548, 0.666)
I (0.059, 0.952, 0.666)
I (0.184, 0.250, 0.409)
I (0.196, 0.750, 0.365)
I (0.304, 0.250, 0.865)
I (0.316, 0.750, 0.909)
I (0.441, 0.048, 0.166)
I (0.441, 0.452, 0.166)
I (0.486, 0.750, 0.400)
I (0.514, 0.250, 0.600)
I (0.559, 0.548, 0.834)
I (0.559, 0.952, 0.834)
I (0.684, 0.250, 0.091)
I (0.696, 0.750, 0.135)
I (0.804, 0.250, 0.635)
I (0.816, 0.750, 0.591)
I (0.941, 0.048, 0.334)
I (0.941, 0.452, 0.334)
I (0.986, 0.750, 0.100)

Entry 4:
First-principles (PBE) data for Cs2PrI6 after structural relaxation, as listed in the Alexandria database.

## Properties
Total energy (eV/cell): -26.8
Space group: C2/m, No. 12
M_tot (μB/atom): 0.000
Density of states at the Fermi level (states/eV per cell): 9.55

Unit cell a=10.384 b=10.384 c=5.765 alpha=105.92 beta=105.92 gamma=53.96
Element x y z (fractional)
Cs (0.166, 0.166, 0.166)
Cs (0.834, 0.834, 0.834)
Pr (0.500, 0.500, 0.500)
I (0.139, 0.575, 0.357)
I (0.304, 0.696, 0.000)
I (0.425, 0.861, 0.643)
I (0.575, 0.139, 0.357)
I (0.696, 0.304, 0.000)
I (0.861, 0.425, 0.643)